The following is a DFT calculation (GGA-PBE) of a relaxed structure of Tb2CePmTm.

```
10
Lattice="5.880 0.000 0.000 0.000 7.770 0.000 0.000 0.000 7.151" Properties=species:S:1:pos:R:3 pbc="T T T"
Tb 1.470 1.625 1.288
Tb 1.470 6.145 1.288
Tb 4.410 1.625 5.863
Tb 4.410 6.145 5.863
Ce 0.000 3.885 3.575
Ce 2.940 3.885 3.575
Pm 1.470 0.000 4.737
Pm 4.410 0.000 2.414
Tm 1.470 3.885 6.362
Tm 4.410 3.885 0.788
```

Properties
For the formation energy, the calculation gives 284 meV per atom. The value obtained for the volume is 32.671 Å³ per atom. The magnetization is 0.3232 μB/atom.